Os2RuPt | PBE | relaxed

Cell and atoms, written as extended XYZ:
```
4
Lattice="-1.565 2.201 0.389 -1.770 -0.656 -3.411 -3.718 -3.089 2.523" Properties=species:S:1:pos:R:3 pbc="T T T"
Ru -4.456 -1.544 0.381
Os -1.894 -1.574 1.286
Pt -2.597 0.001 -0.880
Os -3.683 -3.059 2.499
```

Output
Formation enthalpy at 0 K ... 0.564 eV per formula unit
Energy above the lowest structure with this stoichiometry ... 5.6 kJ/mol of atoms


OsRu2Pt | PBE | relaxed

Cell and atoms, written as extended XYZ:
```
4
Lattice="-2.044 2.525 -3.442 -2.329 -4.082 0.561 -1.629 1.182 1.835" Properties=species:S:1:pos:R:3 pbc="T T T"
Ru -2.187 -0.778 -1.440
Os -1.837 1.853 -0.804
Ru 0.000 0.000 0.000
Pt -1.979 -1.450 1.198
```

Output
Formation enthalpy at 0 K ... 0.341 eV per formula unit
Energy above the lowest structure with this stoichiometry ... 4.0 kJ/mol of atoms


OsRu2Pt | PBE | relaxed

Cell and atoms, written as extended XYZ:
```
4
Lattice="4.728 0.003 0.000 1.575 4.459 0.000 -3.151 -2.231 2.729" Properties=species:S:1:pos:R:3 pbc="T T T"
Os 0.787 2.229 1.365
Ru 0.000 0.000 0.000
Pt 2.364 0.002 1.365
Ru 3.151 2.231 0.000
```

Output
Formation enthalpy at 0 K ... 0.370 eV per formula unit
Energy above the lowest structure with this stoichiometry ... 4.7 kJ/mol of atoms


OsRu2Pt2 | PBE | relaxed

Cell and atoms, written as extended XYZ:
```
10
Lattice="-2.391 -6.025 -1.231 0.928 -1.659 6.319 -3.326 1.158 0.793" Properties=species:S:1:pos:R:3 pbc="T T T"
Pt -2.300 -1.698 1.053
Pt -3.344 -4.981 1.468
Pt -1.446 -1.545 4.413
Os 0.000 0.000 0.000
Ru -1.500 -6.292 2.901
Pt -2.490 -4.828 4.828
Ru -1.384 -4.003 0.040
Ru -0.079 -3.682 5.048
Os -0.732 -3.842 2.544
Ru 0.036 -1.392 2.187
```

Output
Formation enthalpy at 0 K ... 2.760 eV per formula unit
Energy above the lowest structure with this stoichiometry ... 0.0 kJ/mol of atoms


Os2RuPt | PBE | relaxed

Cell and atoms, written as extended XYZ:
```
8
Lattice="3.307 0.000 0.000 0.000 3.307 0.000 0.000 0.000 10.972" Properties=species:S:1:pos:R:3 pbc="T T T"
Ru 0.000 1.653 8.903
Os 0.000 1.653 0.636
Os 0.000 1.653 3.344
Os 1.653 0.000 7.628
Os 1.653 0.000 10.336
Pt 0.000 1.653 6.219
Pt 1.653 0.000 4.753
Ru 1.653 0.000 2.069
```

Output
Formation enthalpy at 0 K ... 1.874 eV per formula unit
Energy above the lowest structure with this stoichiometry ... 37.2 kJ/mol of atoms


Os2RuPt | PBE | relaxed

Cell and atoms, written as extended XYZ:
```
4
Lattice="-4.623 -1.050 -0.438 1.766 -1.980 3.953 -0.643 2.240 1.409" Properties=species:S:1:pos:R:3 pbc="T T T"
Os 0.000 0.000 0.000
Pt -2.633 0.595 0.486
Ru 0.561 0.130 2.681
Os -1.428 -1.515 1.757
```

Output
Formation enthalpy at 0 K ... 0.680 eV per formula unit
Energy above the lowest structure with this stoichiometry ... 8.4 kJ/mol of atoms


Question: formation enthalpy at 0 K of number 2 (OsRu2Pt)?
Answer: 0.341 eV per formula unit


Question: Which formula does entry 6 have?
Answer: Os2RuPt